# 1
The following is a PBE-GGA calculation of an optimized crystal structure of Sc4PbAuC, from Alexandria.

a = 6.392 Å, b = 6.393 Å, c = 7.816 Å
α = 90.00°, β = 114.13°, γ = 90.00°
Atoms (fractional coordinates):
Au  0.884  0.750  0.769
Au  0.116  0.250  0.231
Pb  0.610  0.750  0.219
Pb  0.390  0.250  0.781
Sc  0.500  0.000  0.500
Sc  0.918  0.250  0.837
Sc  0.000  0.000  0.500
Sc  0.500  0.500  0.500
Sc  0.000  0.500  0.500
Sc  0.082  0.750  0.163
Sc  0.595  0.250  0.189
Sc  0.405  0.750  0.811
C  0.752  0.250  0.505
C  0.248  0.750  0.495

Summary:
ΔE_f = -0.5598 eV per atom
space group = Cmcm



# 2
The following is a PBE-GGA calculation of an optimized crystal structure of Sc6Pb2AuC, from Alexandria.

a = 4.901 Å, b = 4.901 Å, c = 9.765 Å
α = 90.00°, β = 90.00°, γ = 90.00°
Atoms (fractional coordinates):
Sc  0.000  0.500  0.500
Sc  0.500  0.500  0.277
Sc  0.500  0.000  0.000
Sc  0.000  0.500  0.000
Sc  0.500  0.000  0.500
Sc  0.500  0.500  0.723
C  0.500  0.500  0.500
Au  0.500  0.500  0.000
Pb  0.000  0.000  0.264
Pb  0.000  0.000  0.736

Summary:
ΔE_f = -0.3320 eV per atom
space group = P4/mmm



# 3
The following is a PBE-GGA calculation of an optimized crystal structure of TiPbAu2C, from Alexandria.

a = 4.456 Å, b = 4.358 Å, c = 4.456 Å
α = 90.00°, β = 90.00°, γ = 90.00°
Atoms (fractional coordinates):
C  0.000  0.000  0.000
Ti  0.000  0.500  0.000
Au  0.000  0.000  0.500
Au  0.500  0.000  0.000
Pb  0.500  0.500  0.500

Summary:
ΔE_f = 0.2821 eV per atom
space group = P4/mmm



# 4
The following is a PBE-GGA calculation of an optimized crystal structure of Tm4PbAuC, from Alexandria.

a = 6.772 Å, b = 6.775 Å, c = 8.157 Å
α = 90.00°, β = 114.53°, γ = 90.00°
Atoms (fractional coordinates):
C  0.752  0.250  0.504
C  0.248  0.750  0.496
Au  0.119  0.250  0.237
Au  0.881  0.750  0.763
Tm  0.000  0.500  0.500
Tm  0.590  0.250  0.181
Tm  0.000  0.000  0.500
Tm  0.500  0.000  0.500
Tm  0.500  0.500  0.500
Tm  0.922  0.250  0.845
Tm  0.410  0.750  0.819
Tm  0.078  0.750  0.155
Pb  0.613  0.750  0.227
Pb  0.387  0.250  0.773

Summary:
ΔE_f = -0.5234 eV per atom
space group = Cmcm



# 5
The following is a PBE-GGA calculation of an optimized crystal structure of Zn2PbAuC, from Alexandria.

a = 5.408 Å, b = 5.369 Å, c = 5.408 Å
α = 90.00°, β = 90.00°, γ = 90.00°
Each line ends with the local moment (μB).
Atoms (fractional coordinates):
C  0.500  0.500  0.500  1.03
Pb  0.000  0.000  0.000  0.02
Zn  0.000  0.000  0.500  0.01
Zn  0.500  0.000  0.000  0.02
Au  0.000  0.500  0.000  0.03

Summary:
ΔE_f = 1.8500 eV per atom
space group = P4/mmm



# 6
The following is a PBE-GGA calculation of an optimized crystal structure of Pd2AuC2, from Alexandria.

a = 3.257 Å, b = 3.257 Å, c = 6.621 Å
α = 75.76°, β = 75.76°, γ = 90.00°
Atoms (fractional coordinates):
Au  0.000  0.000  0.000
C  0.250  0.750  0.500
C  0.750  0.250  0.500
Pd  0.640  0.640  0.720
Pd  0.360  0.360  0.280

Summary:
ΔE_f = 1.1797 eV per atom
space group = I4/mmm



# 7
The following is a PBE-GGA calculation of an optimized crystal structure of PdAuC2, from Alexandria.

a = 4.056 Å, b = 4.056 Å, c = 4.056 Å
α = 60.00°, β = 60.00°, γ = 60.00°
Atoms (fractional coordinates):
C  0.750  0.750  0.750
C  0.250  0.250  0.250
Au  0.500  0.500  0.500
Pd  0.000  0.000  0.000

Summary:
ΔE_f = 2.1472 eV per atom
space group = Fm-3m



# 8
The following is a PBE-GGA calculation of an optimized crystal structure of PdAuC2, from Alexandria.

a = 4.965 Å, b = 4.965 Å, c = 5.744 Å
α = 64.39°, β = 64.39°, γ = 90.00°
Atoms (fractional coordinates):
Pd  0.250  0.750  0.500
Pd  0.500  0.500  0.000
C  0.607  0.125  0.250
C  0.375  0.393  0.750
C  0.143  0.625  0.250
C  0.875  0.857  0.750
Au  0.000  0.000  0.000
Au  0.750  0.250  0.500

Summary:
ΔE_f = 1.5545 eV per atom
space group = I-42d



# 9
The following is a PBE-GGA calculation of an optimized crystal structure of PdAuC3, from Alexandria.

a = 4.057 Å, b = 4.057 Å, c = 4.057 Å
α = 90.00°, β = 90.00°, γ = 90.00°
Atoms (fractional coordinates):
Au  0.500  0.500  0.500
C  0.500  0.000  0.000
C  0.000  0.000  0.500
C  0.000  0.500  0.000
Pd  0.000  0.000  0.000

Summary:
ΔE_f = 2.7538 eV per atom
space group = Pm-3m



# 10
The following is a PBE-GGA calculation of an optimized crystal structure of Pd2AuC2, from Alexandria.

a = 7.151 Å, b = 7.151 Å, c = 2.888 Å
α = 90.00°, β = 90.00°, γ = 90.00°
Atoms (fractional coordinates):
C  0.433  0.067  0.500
C  0.567  0.933  0.500
C  0.067  0.567  0.500
C  0.933  0.433  0.500
Pd  0.663  0.163  0.000
Pd  0.163  0.337  0.000
Pd  0.337  0.837  0.000
Pd  0.837  0.663  0.000
Au  0.500  0.500  0.000
Au  0.000  0.000  0.000

Summary:
ΔE_f = 1.2626 eV per atom
space group = P4/mbm



# 11
The following is a PBE-GGA calculation of an optimized crystal structure of PdAu3C, from Alexandria.

a = 4.308 Å, b = 4.308 Å, c = 4.308 Å
α = 90.00°, β = 90.00°, γ = 90.00°
Atoms (fractional coordinates):
Au  0.500  0.000  0.000
Au  0.000  0.500  0.000
Au  0.000  0.000  0.500
Pd  0.500  0.500  0.500
C  0.000  0.000  0.000

Summary:
ΔE_f = 0.6216 eV per atom
space group = Pm-3m



# 12
The following is a PBE-GGA calculation of an optimized crystal structure of PdAuC3, from Alexandria.

a = 4.102 Å, b = 4.102 Å, c = 4.102 Å
α = 90.00°, β = 90.00°, γ = 90.00°
Atoms (fractional coordinates):
C  0.500  0.000  0.000
C  0.000  0.000  0.500
C  0.000  0.500  0.000
Au  0.000  0.000  0.000
Pd  0.500  0.500  0.500

Summary:
ΔE_f = 3.0915 eV per atom
space group = Pm-3m



# 13
The following is a PBE-GGA calculation of an optimized crystal structure of PdRh2AuC, from Alexandria.

a = 4.073 Å, b = 4.073 Å, c = 4.242 Å
α = 90.00°, β = 90.00°, γ = 90.00°
Atoms (fractional coordinates):
Au  0.500  0.500  0.500
Rh  0.000  0.500  0.000
Rh  0.500  0.000  0.000
Pd  0.000  0.000  0.500
C  0.000  0.000  0.000

Summary:
ΔE_f = 0.2043 eV per atom
space group = P4/mmm



# 14
The following is a PBE-GGA calculation of an optimized crystal structure of SnPd2AuC, from Alexandria.

a = 4.987 Å, b = 5.126 Å, c = 4.987 Å
α = 90.00°, β = 90.00°, γ = 90.00°
Each line ends with the local moment (μB).
Atoms (fractional coordinates):
Sn  0.000  0.000  0.000  -0.06
Pd  0.500  0.000  0.000  -0.07
Pd  0.000  0.000  0.500  -0.04
C  0.500  0.500  0.500  0.67
Au  0.000  0.500  0.000  -0.04

Summary:
ΔE_f = 1.9109 eV per atom
space group = P4/mmm



# 15
The following is a PBE-GGA calculation of an optimized crystal structure of SnPdAuC2, from Alexandria.

a = 4.030 Å, b = 5.384 Å, c = 4.030 Å
α = 90.00°, β = 90.00°, γ = 90.00°
Each line ends with the local moment (μB).
Atoms (fractional coordinates):
Pd  0.000  0.500  0.000  0.05
Au  0.000  0.000  0.000  0.04
C  0.500  0.000  0.000  0.19
C  0.000  0.000  0.500  0.14
Sn  0.500  0.500  0.500  -0.01

Summary:
ΔE_f = 1.8250 eV per atom
space group = P4/mmm



# 16
The following is a PBE-GGA calculation of an optimized crystal structure of Y2PdAuC, from Alexandria.

a = 4.941 Å, b = 4.941 Å, c = 4.042 Å
α = 90.00°, β = 90.00°, γ = 90.00°
Atoms (fractional coordinates):
Au  0.500  0.500  0.500
Pd  0.000  0.000  0.500
Y  0.500  0.000  0.000
Y  0.000  0.500  0.000
C  0.000  0.000  0.000

Summary:
ΔE_f = -0.5400 eV per atom
space group = P4/mmm



# 17
The following is a PBE-GGA calculation of an optimized crystal structure of Y2PdAuC, from Alexandria.

a = 4.933 Å, b = 4.094 Å, c = 4.933 Å
α = 90.00°, β = 90.00°, γ = 90.00°
Atoms (fractional coordinates):
Pd  0.500  0.500  0.500
C  0.000  0.000  0.000
Y  0.000  0.000  0.500
Y  0.500  0.000  0.000
Au  0.000  0.500  0.000

Summary:
ΔE_f = -0.3841 eV per atom
space group = P4/mmm



# 18
The following is a PBE-GGA calculation of an optimized crystal structure of Pm2RuAuC, from Alexandria.

a = 3.892 Å, b = 5.177 Å, c = 5.177 Å
α = 90.00°, β = 90.00°, γ = 90.00°
Atoms (fractional coordinates):
Au  0.500  0.500  0.500
Pm  0.000  0.500  0.000
Pm  0.000  0.000  0.500
Ru  0.500  0.000  0.000
C  0.000  0.000  0.000

Summary:
ΔE_f = -0.4742 eV per atom
space group = P4/mmm



# 19
The following is a PBE-GGA calculation of an optimized crystal structure of Pr6Au2C, from Alexandria.

a = 6.855 Å, b = 7.477 Å, c = 10.299 Å
α = 90.00°, β = 88.80°, γ = 90.00°
Atoms (fractional coordinates):
Pr  0.825  0.701  0.447
Pr  0.175  0.299  0.553
Pr  0.807  0.682  0.055
Pr  0.325  0.799  0.947
Pr  0.675  0.201  0.053
Pr  0.307  0.818  0.555
Pr  0.117  0.028  0.261
Pr  0.617  0.472  0.761
Pr  0.383  0.528  0.239
Pr  0.883  0.972  0.739
Pr  0.693  0.182  0.445
Pr  0.193  0.318  0.945
C  0.000  0.000  0.500
C  0.500  0.500  0.000
Au  0.050  0.591  0.751
Au  0.950  0.409  0.249
Au  0.550  0.909  0.251
Au  0.450  0.091  0.749

Summary:
ΔE_f = -0.3768 eV per atom
space group = P2_1/c



# 20
The following is a PBE-GGA calculation of an optimized crystal structure of Pr2AuC2, from Alexandria.

a = 4.256 Å, b = 7.072 Å, c = 7.537 Å
α = 102.33°, β = 106.40°, γ = 90.00°
Atoms (fractional coordinates):
Pr  0.180  0.864  0.709
Pr  0.820  0.136  0.291
Pr  0.471  0.636  0.291
Pr  0.529  0.364  0.709
C  0.095  0.528  0.453
C  0.357  0.028  0.453
C  0.905  0.472  0.547
C  0.643  0.972  0.547
Au  0.159  0.250  0.000
Au  0.841  0.750  0.000

Summary:
ΔE_f = -0.3644 eV per atom
space group = C2/c